(1)
Material: Li2SnP4O12
Method: DFT, SCAN
State: single point on PBEsol structure

Space group: C2/c
Energy above the most stable polymorph in this dataset (meV/atom): 15
E_form (uncorrected) (eV per atom): -2.305

Lattice parameters (Å, degrees): 9.290 9.290 7.212 91.28 91.28 121.40
Fractional positions:
1 Li 0.033 0.664 0.818
2 Li 0.336 0.967 0.682
3 Li 0.664 0.033 0.318
4 Li 0.967 0.336 0.182
5 Sn 0.386 0.614 0.250
6 Sn 0.614 0.386 0.750
7 P 0.064 0.704 0.383
8 P 0.259 0.431 0.814
9 P 0.296 0.936 0.117
10 P 0.431 0.259 0.314
11 P 0.569 0.741 0.686
12 P 0.704 0.064 0.883
13 P 0.741 0.569 0.186
14 P 0.936 0.296 0.617
15 O 0.090 0.569 0.302
16 O 0.126 0.771 0.577
17 O 0.132 0.355 0.635
18 O 0.138 0.862 0.250
19 O 0.171 0.438 0.983
20 O 0.229 0.874 0.923
21 O 0.345 0.357 0.326
22 O 0.355 0.132 0.135
23 O 0.357 0.345 0.826
24 O 0.377 0.623 0.750
25 O 0.431 0.910 0.198
26 O 0.438 0.171 0.483
27 O 0.562 0.829 0.517
28 O 0.569 0.090 0.802
29 O 0.623 0.377 0.250
30 O 0.643 0.655 0.174
31 O 0.645 0.868 0.865
32 O 0.655 0.643 0.674
33 O 0.771 0.126 0.077
34 O 0.829 0.562 0.017
35 O 0.862 0.138 0.750
36 O 0.868 0.645 0.365
37 O 0.874 0.229 0.423
38 O 0.910 0.431 0.698



(2)
Material: Rb3TiSe
Method: DFT, SCAN
State: single point on PBEsol structure

Space group: Pm-3m
E_form (uncorrected) (eV per atom): 0.092

Lattice parameters (Å, degrees): 6.508 6.508 6.508 90.00 90.00 90.00
Fractional positions:
1 Rb 0.000 0.000 0.500
2 Rb 0.000 0.500 0.000
3 Rb 0.500 0.000 0.000
4 Ti 0.500 0.500 0.500
5 Se 0.000 0.000 0.000



The lowest E_form (uncorrected) belongs to which entry?
Li2SnP4O12